Here is a geometry-optimized Cs6Hg structure from Alexandria via LeMat-Bulk. Energies are from PBE-GGA.

Computed properties:
ΔE to the lowest computed polymorph ... 0.0 meV per atom
DFT formation energy ... -1.6 kcal/mol of atoms
Electronic total energy ... -0.843 eV per atom
Space-group type ... P-31m
Total magnetization ... 0.00 Bohr magnetons per cell

a = 8.8532 Å, b = 9.3828 Å, c = 9.3828 Å
α = 120.00°, β = 90.00°, γ = 90.00°
Fractional coordinates of all 7 atoms:
Cs1 0.2508 0.0000 0.6651
Cs2 0.2508 0.6651 0.0000
Cs3 0.7492 0.0000 0.3349
Cs4 0.7492 0.6651 0.6651
Hg1 0.0000 0.0000 0.0000
Cs5 0.7492 0.3349 0.0000
Cs6 0.2508 0.3349 0.3349